Record 1
Material: Nd2ErO4
Method: DFT, PBE-GGA
State: optimized geometry

Geometry as POSCAR:
```
Nd2ErO4
1.0
-5.153 3.736 -2.759
6.471 0.717 -2.394
-3.543 -5.827 -1.272
O Nd Er
8 4 2
direct
0.625 0.249 0.874
0.625 0.751 0.376
0.125 0.749 0.874
0.126 0.751 0.375
0.624 0.249 0.375
0.125 0.251 0.376
0.624 0.749 0.875
0.126 0.251 0.875
0.375 0.750 0.625
0.875 0.250 0.625
0.375 0.250 0.625
0.375 0.750 0.125
0.000 0.000 0.000
0.750 0.500 0.250
```

Total DFT energy (no corrections) in eV/cell: -111.303

=====

Record 2
Material: Nd2Er2O5
Method: DFT, PBE-GGA
State: optimized geometry

Geometry as POSCAR:
```
Nd2Er2O5
1.0
-8.604 0.249 5.586
-1.311 -3.114 -1.880
1.650 -2.290 2.643
Nd O Er
2 5 2
direct
0.762 0.500 0.500
0.238 0.500 0.500
0.869 0.500 0.000
0.500 0.500 0.500
0.131 0.500 0.000
0.869 0.000 0.500
0.131 0.000 0.500
0.500 0.000 0.000
0.000 0.000 0.000
```

Total DFT energy (no corrections) in eV/cell: -68.104

=====

Number 1: V 16.86 Å³ per atom. Number 2: V 17.05 Å³ per atom.